This record from Alexandria via LeMat-Bulk describes an optimized crystal structure of Se4Br. The functional is PBE.

Results
Its total magnetic moment is 0.0 μB per formula unit. The calculation puts the energy above the lowest structure with this stoichiometry at 0 kJ/mol of formula units. The value obtained for the formation energy (no corrections) is 0.836 eV per atom.

Cell and atoms, written as CIF:
```
data_Se4Br
_space_group_name_H-M_alt 'P 1'
_space_group_IT_number 1
_cell_length_a 5.5538
_cell_length_b 5.5538
_cell_length_c 5.5538
_cell_angle_alpha 109.47
_cell_angle_beta 109.47
_cell_angle_gamma 109.47
loop_
_space_group_symop_operation_xyz
'x,y,z'
loop_
_atom_site_label
_atom_site_type_symbol
_atom_site_fract_x
_atom_site_fract_y
_atom_site_fract_z
Se1 Se 0.0000 0.0000 0.5000
Se2 Se 0.0000 0.5000 0.0000
Se3 Se 0.5000 0.0000 0.0000
Se4 Se 0.5000 0.5000 0.5000
Br1 Br 0.0000 0.0000 0.0000
```